No. 1
{
  "formula": "Np2UN",
  "functional": "PBE",
  "state": "optimized geometry",
  "final_energy_ev_per_atom": -11.208,
  "formation_energy_uncorrected_ev_per_atom": 0.1656,
  "space_group": "P4/mmm (123)",
  "lattice": [[3.3726, 0.0000, 0.0000], [0.0000, 3.3726, 0.0000], [0.0000, 0.0000, 5.5169]],
  "species": ["Np", "Np", "U", "N"],
  "fractional_positions": [[0.0000, 0.0000, 0.2174], [0.0000, 0.0000, 0.7826], [0.5000, 0.5000, 0.5000], [0.5000, 0.5000, 0.0000]]
}



No. 2
{
  "formula": "MgTcOs2",
  "functional": "PBE",
  "state": "optimized geometry",
  "formation_energy_mev_per_atom": 166,
  "final_energy_ev_per_atom": -8.439,
  "n_ef_per_ev_cell": 4.12,
  "space_group": "P4/mmm (123)",
  "lattice": [[2.8065, 0.0000, 0.0000], [0.0000, 2.8065, 0.0000], [0.0000, 0.0000, 7.6583]],
  "species": ["Mg", "Tc", "Os", "Os"],
  "fractional_positions": [[0.0000, 0.0000, 0.0000], [0.0000, 0.0000, 0.5000], [0.5000, 0.5000, 0.2650], [0.5000, 0.5000, 0.7350]]
}



No. 3
{
  "formula": "Pb6Se5Br",
  "functional": "PBE",
  "state": "optimized geometry",
  "final_energy_ev_per_atom": -3.989,
  "n_ef_per_ev_cell": 3.54,
  "formation_energy_uncorrected_ev_per_atom": -0.5435,
  "space_group": "C2/m (12)",
  "lattice": [[3.9160, -6.6549, 0.0000], [3.9160, 6.6549, 0.0000], [-2.5164, 0.0000, 7.0758]],
  "species": ["Pb", "Pb", "Pb", "Pb", "Pb", "Pb", "Se", "Se", "Se", "Se", "Se", "Br"],
  "fractional_positions": [[0.0618, 0.4142, 0.7414], [0.2332, 0.2332, 0.2559], [0.4142, 0.0618, 0.7414], [0.5858, 0.9382, 0.2586], [0.7668, 0.7668, 0.7441], [0.9382, 0.5858, 0.2586], [0.0000, 0.0000, 0.5000], [0.1658, 0.8342, 0.0000], [0.3349, 0.6651, 0.5000], [0.6651, 0.3349, 0.5000], [0.8342, 0.1658, 0.0000], [0.5000, 0.5000, 0.0000]]
}